VASP calculation (PBEsol) on an optimized crystal structure of CaLa2S4.

Unit cell a=7.4132 b=7.4132 c=7.4132 alpha=109.62 beta=109.62 gamma=109.17
With the nearest neighbours (Å) after each atom.
Positions (direct):
S 0.5220 0.7741 0.8974  2 Ca 2.86-3.06, 4 La 2.88-3.09
S 0.8767 0.6246 0.1026  2 Ca 2.86-3.06, 4 La 2.88-3.09
S 0.3754 0.4780 0.2521  2 Ca 2.86-3.06, 4 La 2.88-3.09
S 0.8746 0.6267 0.6026  2 Ca 2.86-3.06, 4 La 2.88-3.09
S 0.0241 0.2720 0.3974  2 Ca 2.86-3.06, 4 La 2.88-3.09
S 0.7280 0.1254 0.7521  2 Ca 2.86-3.06, 4 La 2.88-3.09
S 0.3733 0.9759 0.2479  2 Ca 2.86-3.06, 4 La 2.88-3.09
S 0.2259 0.1233 0.7479  2 Ca 2.86-3.06, 4 La 2.88-3.09
La 0.1250 0.5044 0.8794  8 S 2.88-3.09
La 0.4956 0.3750 0.6206  8 S 2.88-3.09
La 0.6250 0.2456 0.1206  8 S 2.88-3.09
La 0.7544 0.8750 0.3794  8 S 2.88-3.09
Ca 0.2500 0.7500 0.5000  8 S 2.86-3.06
Ca 0.0000 0.0000 0.0000  8 S 2.86-3.06

Results
As for the total energy: -91.93 eV per cell. The energy relative to the elements, uncorrected is -2.229 eV per atom. The crystal system is tetragonal. The volume comes out at 22.40 A^3/atom.

---

VASP calculation (PBEsol) on an optimized crystal structure of CeBi.

Unit cell a=4.5162 b=4.5162 c=4.5162 alpha=60.00 beta=60.00 gamma=60.00
With the nearest neighbours (Å) after each atom.
Positions (direct):
Ce 0.5000 0.5000 0.5000  6 Bi 3.19
Bi 0.0000 0.0000 0.0000  6 Ce 3.19

Results
As for the total energy: -12.32 eV per cell. The crystal system is cubic. The volume comes out at 32.57 A^3/atom.

---

no.,mass density (g/cm3)
1,4.725
2,8.900